La2AsN GGA-PBE relaxed; energy relative to the elements, uncorrected = -1.355 eV/atom; calculated total energy = -7.06 eV per atom; offset from the most stable computed form = 0.00 eV/f.u.; M_tot = 0.0 μB per cell; mass density = 5.85 g cm⁻³
1.0
6.142 0.000 0.000
0.000 6.098 0.000
-5.599 0.000 11.110
La As N
8 4 4
direct
0.092 0.221 0.101
0.092 0.779 0.601
0.310 0.227 0.852
0.310 0.773 0.352
0.690 0.227 0.648
0.690 0.773 0.148
0.908 0.221 0.399
0.908 0.779 0.899
0.385 0.270 0.375
0.385 0.730 0.875
0.615 0.270 0.125
0.615 0.730 0.625
0.040 0.157 0.623
0.040 0.843 0.123
0.960 0.157 0.877
0.960 0.843 0.377